# 1
# LaAg3B PBE relaxed
data_LaAg3B
_symmetry_space_group_name_H-M 'P m -3 m'
_symmetry_Int_Tables_number 221
_symmetry_space_group_name_Hall '-P 4 2 3'
_cell_length_a 5.7418
_cell_length_b 5.7418
_cell_length_c 5.7418
_cell_angle_alpha 90.00
_cell_angle_beta 90.00
_cell_angle_gamma 90.00
loop_
_atom_site_label
_atom_site_fract_x
_atom_site_fract_y
_atom_site_fract_z
La1 0.0000 0.0000 0.0000
Ag1 0.0000 0.0000 0.5000
B1 0.5000 0.5000 0.5000
# Formation energy = 1866 meV per atom
# Polymorph energy (0 for the lowest one) = 166.7 kJ/mol of atoms


# 2
# Ag3SeCl PBE relaxed
data_Ag3SeCl
_symmetry_space_group_name_H-M 'P m -3 m'
_symmetry_Int_Tables_number 221
_symmetry_space_group_name_Hall '-P 4 2 3'
_cell_length_a 5.0517
_cell_length_b 5.0517
_cell_length_c 5.0517
_cell_angle_alpha 90.00
_cell_angle_beta 90.00
_cell_angle_gamma 90.00
loop_
_atom_site_label
_atom_site_fract_x
_atom_site_fract_y
_atom_site_fract_z
Ag1 0.0000 0.0000 0.5000
Se1 0.0000 0.0000 0.0000
Cl1 0.5000 0.5000 0.5000
# Polymorph energy (0 for the lowest one) = 15.0 kJ/mol of atoms


# 3
# Tb7Ho2Mg2 PBE relaxed
data_Tb7Ho2Mg2
_symmetry_space_group_name_H-M 'P -1'
_symmetry_Int_Tables_number 2
_symmetry_space_group_name_Hall '-P 1'
_cell_length_a 5.0043
_cell_length_b 7.7151
_cell_length_c 9.2670
_cell_angle_alpha 103.30
_cell_angle_beta 105.54
_cell_angle_gamma 90.03
loop_
_atom_site_label
_atom_site_fract_x
_atom_site_fract_y
_atom_site_fract_z
Tb1 0.0000 0.0000 0.0000
Tb2 0.0929 0.4572 0.1871
Tb3 0.2736 0.3616 0.5476
Tb4 0.3620 0.8196 0.7235
Ho1 0.4600 0.2753 0.9186
Mg1 0.1820 0.9115 0.3640
# Formation energy = 16 meV per atom
# Polymorph energy (0 for the lowest one) = 0.0 kJ/mol of atoms


# 4
# AsN PBE relaxed
data_AsN
_symmetry_space_group_name_H-M 'P 21 21 21'
_symmetry_Int_Tables_number 19
_symmetry_space_group_name_Hall 'P 2ac 2ab'
_cell_length_a 4.8728
_cell_length_b 5.0545
_cell_length_c 10.1043
_cell_angle_alpha 90.00
_cell_angle_beta 90.00
_cell_angle_gamma 90.00
loop_
_atom_site_label
_atom_site_fract_x
_atom_site_fract_y
_atom_site_fract_z
As1 0.1827 0.0170 0.0269
As2 0.2152 0.3434 0.7574
N1 0.1336 0.9855 0.6959
N2 0.1352 0.7284 0.4257
# Polymorph energy (0 for the lowest one) = 38.1 kJ/mol of atoms


# 5
# CoRuCl3 PBE relaxed
data_CoRuCl3
_symmetry_space_group_name_H-M 'P 63/m m c'
_symmetry_Int_Tables_number 194
_symmetry_space_group_name_Hall '-P 6c 2c'
_cell_length_a 3.9854
_cell_length_b 3.9854
_cell_length_c 14.3072
_cell_angle_alpha 90.00
_cell_angle_beta 90.00
_cell_angle_gamma 120.00
loop_
_atom_site_label
_atom_site_fract_x
_atom_site_fract_y
_atom_site_fract_z
Co1 0.0000 0.0000 0.0000
Ru1 0.3333 0.6667 0.2500
Cl1 0.0000 0.0000 0.2500
Cl2 0.3333 0.6667 0.0810
# Polymorph energy (0 for the lowest one) = 28.2 kJ/mol of atoms


# 6
# HoZnCd2 PBE relaxed
data_HoZnCd2
_symmetry_space_group_name_H-M 'I -4 m 2'
_symmetry_Int_Tables_number 119
_symmetry_space_group_name_Hall 'I -4 -2'
_cell_length_a 4.9496
_cell_length_b 4.9496
_cell_length_c 6.9761
_cell_angle_alpha 90.00
_cell_angle_beta 90.00
_cell_angle_gamma 90.00
loop_
_atom_site_label
_atom_site_fract_x
_atom_site_fract_y
_atom_site_fract_z
Ho1 0.0000 0.0000 0.0000
Zn1 0.0000 0.5000 0.7500
Cd1 0.0000 0.0000 0.5000
Cd2 0.0000 0.5000 0.2500
# Formation energy = -250 meV per atom


no.,total energy (eV/cell)
1,-10.83
2,-14.19
3,-44.58
4,-97.35
5,-43.41
6,-17.36